RbNbAuSeS2 GGA-PBE relaxed; total DFT energy (no corrections) = -60.07 eV for the cell shown; space-group type = No. 63
1.0
1.815 -8.017 0.000
1.815 8.017 0.000
0.000 0.000 10.036
Rb Nb Au Se S
2 2 2 2 4
direct
0.242 0.758 0.750
0.758 0.242 0.250
0.000 0.000 0.000
0.000 0.000 0.500
0.449 0.551 0.250
0.551 0.449 0.750
0.075 0.925 0.250
0.925 0.075 0.750
0.390 0.610 0.032
0.390 0.610 0.468
0.610 0.390 0.532
0.610 0.390 0.968